Entry 1:
VASP calculation (PBE) on an optimized crystal structure of LiGe2Ir.

Cell and atoms, written as POSCAR:
```
LiGe2Ir
1.0
-1.351 2.289 6.084
1.351 -2.289 6.084
1.351 2.289 -6.084
Li Ge Ir
1 2 1
Direct
0.000 0.000 0.000
0.301 0.301 0.000
0.699 0.699 0.000
0.500 0.500 0.000
```

Formation enthalpy at 0 K: 0.368 eV/f.u.
Distance to the lowest polymorph of the same formula: 434.9 meV per atom

Entry 2:
VASP calculation (PBE) on an optimized crystal structure of LiPCl2.

Cell and atoms, written as POSCAR:
```
LiPCl2
1.0
-3.431 3.431 3.343
3.431 -3.431 3.343
3.431 3.431 -3.343
Li P Cl
2 2 4
Direct
0.000 0.000 0.000
0.750 0.250 0.500
0.250 0.750 0.500
0.500 0.500 0.000
0.112 0.625 0.987
0.375 0.362 0.487
0.638 0.125 0.013
0.875 0.888 0.513
```

Distance to the lowest polymorph of the same formula: 377.7 meV per atom
Formation energy (no corrections): -0.28 eV per atom